Record 1
Entry from Alexandria via LeMat-Bulk: crystalline ZrNi2I at its relaxed geometry (PBE-GGA).

* crystal system: tetragonal
* total magnetization: 0.000 μB per atom
* formation energy (no corrections): 0.218 eV/atom

Cell lengths 5.7990, 5.7990, 5.7990 Å; angles 103.61, 103.61, 121.96 degrees
Closest atoms and distances in Å follow each position.
Element x y z (fractional)
Zr1 0.0000 0.0000 0.0000  4 Ni 2.70, 2 I 2.81
Zr2 0.7500 0.2500 0.5000  4 Ni 2.70, 2 I 2.81
Ni1 0.1393 0.1250 0.5143  2 I 2.56, 2 Zr 2.70, 2 Ni 2.82
Ni2 0.3750 0.8607 0.9857  2 I 2.56, 2 Zr 2.70, 2 Ni 2.82
Ni3 0.6107 0.6250 0.4857  2 I 2.56, 2 Zr 2.70, 2 Ni 2.82
Ni4 0.8750 0.3893 0.0143  2 I 2.56, 2 Zr 2.70, 2 Ni 2.82
I1 0.2500 0.7500 0.5000  4 Ni 2.56, 2 Zr 2.81
I2 0.5000 0.5000 0.0000  4 Ni 2.56, 2 Zr 2.81


Record 2
Entry from Alexandria via LeMat-Bulk: crystalline ZrNi2I2 at its relaxed geometry (PBE-GGA).

* crystal system: tetragonal
* total magnetization: 0.000 μB per atom
* formation energy (no corrections): 0.405 eV/atom

Cell lengths 7.5583, 7.5583, 3.4770 Å; angles 90.00, 90.00, 90.00 degrees
Closest atoms and distances in Å follow each position.
Element x y z (fractional)
Zr1 0.0000 0.0000 0.0000  4 I 2.82
Zr2 0.5000 0.5000 0.0000  4 I 2.82
Ni1 0.1428 0.3572 0.5000  6 I 2.69-2.91
Ni2 0.3572 0.8572 0.5000  6 I 2.69-2.91
Ni3 0.6428 0.1428 0.5000  6 I 2.69-2.91
Ni4 0.8572 0.6428 0.5000  6 I 2.69-2.91
I1 0.1648 0.6648 0.0000  6 Ni 2.69-2.91, 2 Zr 2.82
I2 0.3352 0.1648 0.0000  6 Ni 2.69-2.91, 2 Zr 2.82
I3 0.6648 0.8352 0.0000  6 Ni 2.69-2.91, 2 Zr 2.82
I4 0.8352 0.3352 0.0000  6 Ni 2.69-2.91, 2 Zr 2.82


Record 3
Entry from Alexandria via LeMat-Bulk: crystalline ZrNiI3 at its relaxed geometry (PBE-GGA).

* crystal system: cubic
* total magnetization: 0.415 μB per atom
* formation energy (no corrections): 0.370 eV/atom

Cell lengths 5.2202, 5.2202, 5.2202 Å; angles 90.00, 90.00, 90.00 degrees
Closest atoms and distances in Å follow each position.
Element x y z (fractional)
Zr1 0.0000 0.0000 0.0000  12 I 3.69
Ni1 0.5000 0.5000 0.5000  6 I 2.61
I1 0.0000 0.5000 0.5000  2 Ni 2.61
I2 0.5000 0.0000 0.5000  2 Ni 2.61
I3 0.5000 0.5000 0.0000  2 Ni 2.61


Record 4
Entry from Alexandria via LeMat-Bulk: crystalline ZrNiI at its relaxed geometry (PBE-GGA).

* crystal system: monoclinic
* total magnetization: 0.000 μB per atom
* formation energy (no corrections): -0.202 eV/atom

Cell lengths 5.6860, 3.8002, 6.5840 Å; angles 90.00, 103.22, 90.00 degrees
Closest atoms and distances in Å follow each position.
Element x y z (fractional)
Zr1 0.0000 0.0000 0.0000  3 Ni 2.53-2.59
Zr2 0.4649 0.5000 0.7922  3 Ni 2.58-2.74
Ni1 0.6855 0.0000 0.6463  2 Ni 2.49, 3 Zr 2.58-2.59
Ni2 0.9723 0.5000 0.7425  2 Ni 2.49, 3 Zr 2.53-2.74, 1 I 2.60
I1 0.1060 0.5000 0.3903  1 Ni 2.60
I2 0.5441 0.0000 0.1632  4 Zr 3.02-3.05, 1 Ni 3.10


Record 5
Entry from Alexandria via LeMat-Bulk: crystalline ZrNi3I at its relaxed geometry (PBE-GGA).

* crystal system: cubic
* total magnetization: 0.000 μB per atom
* formation energy (no corrections): 1.171 eV/atom

Cell lengths 4.7486, 4.7486, 4.7486 Å; angles 90.00, 90.00, 90.00 degrees
Closest atoms and distances in Å follow each position.
Element x y z (fractional)
Zr1 0.0000 0.0000 0.0000  6 Ni 2.37
Ni1 0.0000 0.0000 0.5000  2 Zr 2.37
Ni2 0.0000 0.5000 0.0000  2 Zr 2.37
Ni3 0.5000 0.0000 0.0000  2 Zr 2.37
I1 0.5000 0.5000 0.5000  12 Ni 3.36


Record 6
Entry from Alexandria via LeMat-Bulk: crystalline ZrNiI at its relaxed geometry (PBE-GGA).

* crystal system: monoclinic
* total magnetization: 0.000 μB per atom
* formation energy (no corrections): -0.593 eV/atom

Cell lengths 3.9891, 3.9891, 11.8190 Å; angles 102.07, 102.07, 59.50 degrees
Closest atoms and distances in Å follow each position.
Element x y z (fractional)
Zr1 0.0000 0.0000 0.0000  5 Ni 2.63-2.92
Zr2 0.0295 0.0295 0.2758  3 Ni 2.61-2.62
Ni1 0.3596 0.3596 0.1430  3 Ni 2.26-2.33
Ni2 0.6797 0.6797 0.1309  3 Ni 2.26-2.33
I1 0.5922 0.5922 0.8194  3 Zr 3.09-3.10
I2 0.7816 0.7816 0.4554  3 Zr 3.04-3.11


Record 7
Entry from Alexandria via LeMat-Bulk: crystalline ZrNi3I at its relaxed geometry (PBE-GGA).

* crystal system: cubic
* total magnetization: 0.000 μB per atom
* formation energy (no corrections): 0.911 eV/atom

Cell lengths 4.5761, 4.5761, 4.5761 Å; angles 90.00, 90.00, 90.00 degrees
Closest atoms and distances in Å follow each position.
Element x y z (fractional)
Zr1 0.0000 0.0000 0.0000  12 Ni 3.24
Ni1 0.0000 0.5000 0.5000  2 I 2.29
Ni2 0.5000 0.0000 0.5000  2 I 2.29
Ni3 0.5000 0.5000 0.0000  2 I 2.29
I1 0.5000 0.5000 0.5000  6 Ni 2.29


Record 8
Entry from Alexandria via LeMat-Bulk: crystalline ZrNi2I2 at its relaxed geometry (PBE-GGA).

* crystal system: tetragonal
* total magnetization: 0.000 μB per atom
* formation energy (no corrections): 0.282 eV/atom

Cell lengths 8.0022, 8.0022, 8.0022 Å; angles 154.17, 154.17, 36.85 degrees
Closest atoms and distances in Å follow each position.
Element x y z (fractional)
Zr1 0.0000 0.0000 0.0000  8 I 3.09
Ni1 0.2500 0.7500 0.5000  4 Ni 2.53, 4 I 2.70
Ni2 0.7500 0.2500 0.5000  4 Ni 2.53, 4 I 2.70
I1 0.3829 0.3829 0.0000  4 Ni 2.70
I2 0.6171 0.6171 0.0000  4 Ni 2.70


Record 9
Entry from Alexandria via LeMat-Bulk: crystalline ZrNiI at its relaxed geometry (PBE-GGA).

* crystal system: monoclinic
* total magnetization: 0.000 μB per atom
* formation energy (no corrections): -0.097 eV/atom

Cell lengths 5.9183, 3.7648, 6.5036 Å; angles 90.00, 111.33, 90.00 degrees
Closest atoms and distances in Å follow each position.
Element x y z (fractional)
Zr1 0.0000 0.0000 0.0000  3 Ni 2.54-2.55
Zr2 0.0012 0.5000 0.5005  3 Ni 2.54-2.55
Ni1 0.2414 0.5000 0.2451  3 Zr 2.54-2.55
Ni2 0.2419 0.0000 0.7466  3 Zr 2.54-2.55
I1 0.6045 0.0000 0.2026  3 Ni 2.94-2.96, 3 Zr 3.08
I2 0.6039 0.5000 0.7020  3 Ni 2.94-2.97, 3 Zr 3.08


Record 10
Entry from Alexandria via LeMat-Bulk: crystalline ZrNiI at its relaxed geometry (PBE-GGA).

* crystal system: monoclinic
* total magnetization: 0.000 μB per atom
* formation energy (no corrections): -0.185 eV/atom

Cell lengths 5.5237, 5.5237, 7.9755 Å; angles 110.87, 110.87, 38.75 degrees
Closest atoms and distances in Å follow each position.
Element x y z (fractional)
Zr1 0.0000 0.0000 0.0000  3 Ni 2.59-2.63
Zr2 0.6775 0.6775 0.7978  4 Ni 2.61-2.86
Ni1 0.3743 0.3743 0.7558  2 Ni 2.42, 2 Zr 2.63, 1 I 2.68
Ni2 0.9876 0.9876 0.6690  2 Ni 2.42, 3 Zr 2.59-2.61, 1 I 2.62
I1 0.1350 0.1350 0.4666  2 Ni 2.62-2.68
I2 0.3110 0.3110 0.1282  5 Zr 3.01-3.13, 1 Ni 3.28


Record 11
Entry from Alexandria via LeMat-Bulk: crystalline ZrNi2I at its relaxed geometry (PBE-GGA).

* crystal system: cubic
* total magnetization: 0.000 μB per atom
* formation energy (no corrections): 0.313 eV/atom

Cell lengths 4.6154, 4.6154, 4.6154 Å; angles 60.00, 60.00, 60.00 degrees
Closest atoms and distances in Å follow each position.
Element x y z (fractional)
Zr1 0.0000 0.0000 0.0000  8 Ni 2.83
Ni1 0.2500 0.2500 0.2500  4 I 2.83, 4 Zr 2.83
Ni2 0.7500 0.7500 0.7500  4 I 2.83, 4 Zr 2.83
I1 0.5000 0.5000 0.5000  8 Ni 2.83


Record 12
Entry from Alexandria via LeMat-Bulk: crystalline ZrNiI at its relaxed geometry (PBE-GGA).

* crystal system: triclinic
* total magnetization: 0.000 μB per atom
* formation energy (no corrections): -0.606 eV/atom

Cell lengths 3.8802, 4.0907, 11.3577 Å; angles 90.06, 91.54, 118.27 degrees
Closest atoms and distances in Å follow each position.
Element x y z (fractional)
Zr1 0.0350 0.0904 0.3636  3 Ni 2.58-2.65
Zr2 0.9650 0.9096 0.6364  3 Ni 2.58-2.65
Ni1 0.3428 0.6855 0.5037  3 Ni 2.27-2.36
Ni2 0.6572 0.3145 0.4963  3 Ni 2.27-2.36
I1 0.3330 0.7146 0.1838  3 Zr 3.06-3.11
I2 0.6670 0.2854 0.8162  3 Zr 3.06-3.11